GGA-PBE TaVAs3, optimized geometry; energy = -6.189 eV/atom; relative energy among the computed polymorphs = 0.77 eV/f.u.; space group = No. 221; total magnetization = 2.58 μB/f.u.
1.0
4.691 0.000 0.000
0.000 4.691 0.000
0.000 0.000 4.691
Ta V As
1 1 3
direct
0.000 0.000 0.000
0.500 0.500 0.500
0.000 0.500 0.500
0.500 0.000 0.500
0.500 0.500 0.000


GGA-PBE ZrZnCdIr, optimized geometry; energy = -5.203 eV/atom; space group = No. 216; total magnetization = 0.00 μB/f.u.
1.0
0.000 3.286 3.286
3.286 0.000 3.286
3.286 3.286 0.000
Zr Zn Cd Ir
1 1 1 1
direct
0.000 0.000 0.000
0.750 0.750 0.750
0.500 0.500 0.500
0.250 0.250 0.250


GGA-PBE Cs2DyPd3F12, optimized geometry; energy = -4.684 eV/atom; ΔE_f (raw) = -3857 kJ/mol of formula units; space group = No. 166; total magnetization = 5.08 μB/f.u.
1.0
3.877 2.238 6.671
-3.877 2.238 6.671
0.000 -4.477 6.671
Cs Dy Pd F
2 1 3 12
direct
0.119 0.119 0.119
0.881 0.881 0.881
0.500 0.500 0.500
0.000 0.500 0.500
0.500 0.000 0.500
0.500 0.500 0.000
0.167 0.579 0.579
0.176 0.176 0.580
0.176 0.580 0.176
0.420 0.824 0.824
0.421 0.421 0.833
0.421 0.833 0.421
0.579 0.167 0.579
0.579 0.579 0.167
0.580 0.176 0.176
0.824 0.420 0.824
0.824 0.824 0.420
0.833 0.421 0.421


GGA-PBE NaSiSn, optimized geometry; energy = -3.446 eV/atom; relative energy among the computed polymorphs = 0.46 eV/f.u.; ΔE_f (raw) = 39 kJ/mol of formula units; space group = No. 12; total magnetization = 0.00 μB/f.u.
1.0
4.346 -3.114 0.000
4.346 3.114 0.000
-4.314 0.000 6.311
Na Si Sn
2 2 2
direct
0.167 0.167 0.336
0.833 0.833 0.664
0.407 0.407 0.813
0.593 0.593 0.187
0.000 0.500 0.000
0.500 0.000 0.000


GGA-PBE PSe7, optimized geometry; energy = -2.937 eV/atom; ΔE_f (raw) = 608 kJ/mol of formula units; space group = No. 225; total magnetization = 0.00 μB/f.u.
1.0
0.000 4.287 4.287
4.287 0.000 4.287
4.287 4.287 0.000
P Se
1 7
direct
0.000 0.000 0.000
0.000 0.000 0.500
0.000 0.500 0.000
0.000 0.500 0.500
0.500 0.000 0.000
0.500 0.000 0.500
0.500 0.500 0.000
0.500 0.500 0.500


GGA-PBE Pu2Fe2C3, optimized geometry; energy = -10.539 eV/atom; relative energy among the computed polymorphs = 0.00 eV/f.u.; space group = No. 12; total magnetization = 10.32 μB/f.u.
1.0
5.577 -1.656 0.000
5.577 1.656 0.000
-2.581 0.000 4.780
Pu Fe C
2 2 3
direct
0.096 0.096 0.300
0.904 0.904 0.700
0.329 0.329 0.176
0.671 0.671 0.824
0.253 0.253 0.778
0.500 0.500 0.500
0.747 0.747 0.222


GGA-PBE CaMnI, optimized geometry; energy = -4.748 eV/atom; ΔE_f (raw) = -147 kJ/mol of formula units; space group = No. 8; total magnetization = 0.00 μB/f.u.
1.0
3.609 -2.080 0.000
3.609 2.080 0.000
-2.473 0.000 12.839
Ca Mn I
2 2 2
direct
0.000 0.000 0.000
0.128 0.128 0.373
0.397 0.397 0.186
0.730 0.730 0.186
0.615 0.615 0.847
0.847 0.847 0.526


GGA-PBE NpAlP2, optimized geometry; energy = -7.396 eV/atom; relative energy among the computed polymorphs = 0.00 eV/f.u.; space group = No. 123; total magnetization = 2.53 μB/f.u.
1.0
4.314 0.000 0.000
0.000 4.314 0.000
0.000 0.000 3.552
Np Al P
1 1 2
direct
0.000 0.000 0.000
0.500 0.500 0.000
0.000 0.500 0.500
0.500 0.000 0.500